Compound: TlRhSeS2
Source: the Alexandria database
Functional: PBE
Structure: optimized geometry

Calculated values
D(E_F) = 6.5 states/eV per cell
Formation energy without anion corrections = 0.2799 eV per atom
Total moment = 0.0 μB per formula unit
E = -0.1474 Ha/atom

a = 4.4628 Å, b = 4.4628 Å, c = 6.0424 Å
α = 90.00°, β = 90.00°, γ = 90.00°
Last column: nearest neighbours and their distance in Å.
Sites, in units of the cell vectors:
Tl (0.0000, 0.0000, 0.0000)  2 Rh 3.02, 4 Se 3.16
Rh (0.0000, 0.0000, 0.5000)  4 S 2.23
Se (0.5000, 0.5000, 0.0000)  4 Tl 3.16
S (0.0000, 0.5000, 0.5000)  2 Rh 2.23
S (0.5000, 0.0000, 0.5000)  2 Rh 2.23

---

Compound: ThCo12B4
Source: the Alexandria database
Functional: PBE
Structure: optimized geometry

Calculated values
D(E_F) = 24.7 states/eV per cell
Total moment = 13.4 μB per formula unit
E = -0.2540 Ha/atom
ΔH_f (0 K) = 0.112 eV/atom

a = 6.3118 Å, b = 6.3118 Å, c = 6.3118 Å
α = 109.47°, β = 109.47°, γ = 109.47°
Last column: nearest neighbours and their distance in Å.
Sites, in units of the cell vectors:
Th (0.0000, 0.0000, 0.0000)  12 Co 2.83, 8 B 3.16
Co (0.1593, 0.8164, 0.3429)  2 B 2.00
Co (0.1836, 0.3429, 0.5265)  2 B 2.00
Co (0.1836, 0.6571, 0.8407)  2 B 2.00
Co (0.3429, 0.1593, 0.8164)  2 B 2.00
Co (0.3429, 0.5265, 0.1836)  2 B 2.00
Co (0.4735, 0.8164, 0.6571)  2 B 2.00
Co (0.5265, 0.1836, 0.3429)  2 B 2.00
Co (0.6571, 0.4735, 0.8164)  2 B 2.00
Co (0.6571, 0.8407, 0.1836)  2 B 2.00
Co (0.8164, 0.3429, 0.1593)  2 B 2.00
Co (0.8164, 0.6571, 0.4735)  2 B 2.00
Co (0.8407, 0.1836, 0.6571)  2 B 2.00
B (0.0000, 0.0000, 0.5000)  6 Co 2.00
B (0.0000, 0.5000, 0.0000)  6 Co 2.00
B (0.5000, 0.0000, 0.0000)  6 Co 2.00
B (0.5000, 0.5000, 0.5000)  6 Co 2.00

---

Compound: Pm3Nd3Y5
Source: the Alexandria database
Functional: PBE
Structure: optimized geometry

Calculated values
Distance to the lowest polymorph of the same formula = 0.000 eV/atom
D(E_F) = 19.7 states/eV per cell
Total moment = 0.0 μB per formula unit
E = -0.1909 Ha/atom
ΔH_f (0 K) = 0.339 eV/atom

a = 11.2488 Å, b = 11.2488 Å, c = 3.5080 Å
α = 90.00°, β = 90.00°, γ = 120.00°
Last column: nearest neighbours and their distance in Å.
Sites, in units of the cell vectors:
Pm (0.0000, 0.1601, 0.0000)  2 Pm 3.12, 2 Nd 3.22, 2 Y 3.33
Pm (0.1601, 0.0000, 0.0000)  2 Pm 3.12, 2 Nd 3.22, 2 Y 3.33
Pm (0.8399, 0.8399, 0.0000)  2 Pm 3.12, 2 Nd 3.22, 2 Y 3.33
Nd (0.0000, 0.4001, 0.5000)  2 Pm 3.22, 2 Y 3.40, 2 Nd 3.51
Nd (0.4001, 0.0000, 0.5000)  2 Pm 3.22, 2 Y 3.40, 2 Nd 3.51
Nd (0.5999, 0.5999, 0.5000)  2 Pm 3.22, 2 Y 3.40, 2 Nd 3.51
Y (0.0000, 0.6588, 0.0000)  2 Pm 3.33, 2 Nd 3.40, 4 Y 3.51-3.71
Y (0.3333, 0.6667, 0.0000)  5 Y 3.51-3.71, 6 Nd 3.86
Y (0.3412, 0.3412, 0.0000)  2 Pm 3.33, 2 Nd 3.40, 4 Y 3.51-3.71
Y (0.6588, 0.0000, 0.0000)  2 Pm 3.33, 2 Nd 3.40, 4 Y 3.51-3.71
Y (0.6667, 0.3333, 0.0000)  5 Y 3.51-3.71, 6 Nd 3.86